# 1
DFT (PBE-GGA) results for a relaxed structure of ReOsO2.

Formation energy (no corrections) ... 399 meV per atom
Final energy ... -8.000 eV per atom
Energy above the most stable polymorph in this dataset ... 875 meV per atom

Cell: 5.642 5.642 5.642 Å, 130.40 130.40 72.77°
Element x y z (fractional)
Re  0.000  0.000  0.000
Re  0.750  0.250  0.500
Os  0.250  0.750  0.500
Os  0.500  0.500  0.000
O  0.118  0.625  0.993
O  0.375  0.368  0.493
O  0.632  0.125  0.007
O  0.875  0.882  0.507

***

# 2
DFT (PBE-GGA) results for a relaxed structure of Y2Tm2Pd3.

Final energy ... -6.101 eV per atom
Formation energy ... -0.751 eV per atom

Cell: 7.559 7.559 7.559 Å, 109.47 109.47 109.47°
Element x y z (fractional)
Y  0.000  0.124  0.500
Y  0.124  0.500  0.000
Y  0.376  0.376  0.376
Y  0.500  0.000  0.124
Tm  0.000  0.623  0.500
Tm  0.500  0.000  0.623
Tm  0.623  0.500  0.000
Tm  0.877  0.877  0.877
Pd  0.121  0.871  0.250
Pd  0.250  0.121  0.871
Pd  0.379  0.629  0.750
Pd  0.629  0.750  0.379
Pd  0.750  0.379  0.629
Pd  0.871  0.250  0.121

***

# 3
DFT (PBE-GGA) results for a relaxed structure of BaNiAg2S.

Formation energy (no corrections) ... 2 meV per atom
Final energy ... -3.505 eV per atom

Cell: 5.282 5.282 4.274 Å, 90.00 90.00 90.00°
Element x y z (fractional)
Ba  0.000  0.000  0.000
Ni  0.500  0.500  0.000
Ag  0.000  0.500  0.500
Ag  0.500  0.000  0.500
S  0.500  0.500  0.500

***

# 4
DFT (PBE-GGA) results for a relaxed structure of Ac3Zr.

Final energy ... -4.957 eV per atom
Energy above the most stable polymorph in this dataset ... 7 meV per atom
Formation energy ... 0.261 eV per atom

Cell: 6.531 6.531 6.531 Å, 131.89 131.89 70.40°
Element x y z (fractional)
Ac  0.000  0.000  0.000
Ac  0.250  0.750  0.500
Ac  0.750  0.250  0.500
Zr  0.500  0.500  0.000

***

# 5
DFT (PBE-GGA) results for a relaxed structure of AlGaCo.

Final energy ... -4.864 eV per atom
Formation energy ... -0.239 eV per atom

Cell: 3.999 3.999 3.999 Å, 60.00 60.00 60.00°
Element x y z (fractional)
Al  0.000  0.000  0.000
Ga  0.500  0.500  0.500
Co  0.750  0.750  0.750

***

# 6
DFT (PBE-GGA) results for a relaxed structure of La6Sm2TmMg.

Final energy ... -4.415 eV per atom
Formation energy ... 0.092 eV per atom

Cell: 8.746 8.746 9.451 Å, 94.88 94.88 105.05°
Element x y z (fractional)
La  0.042  0.469  0.674
La  0.064  0.820  0.900
La  0.180  0.936  0.600
La  0.249  0.580  0.083
La  0.420  0.751  0.417
La  0.469  0.042  0.174
La  0.531  0.958  0.826
La  0.580  0.249  0.583
La  0.751  0.420  0.917
La  0.820  0.064  0.400
La  0.936  0.180  0.100
La  0.958  0.531  0.326
Sm  0.236  0.302  0.409
Sm  0.302  0.236  0.909
Sm  0.698  0.764  0.091
Sm  0.764  0.698  0.591
Tm  0.432  0.568  0.750
Tm  0.568  0.432  0.250
Mg  0.095  0.905  0.250
Mg  0.905  0.095  0.750

***

# 7
DFT (PBE-GGA) results for a relaxed structure of SrRh6S8.

Formation energy (no corrections) ... -580 meV per atom
Final energy ... -5.834 eV per atom

Cell: 6.501 6.501 6.501 Å, 89.76 89.76 89.76°
Element x y z (fractional)
Sr  0.000  0.000  0.000
Rh  0.188  0.571  0.404
Rh  0.404  0.188  0.571
Rh  0.429  0.596  0.812
Rh  0.571  0.404  0.188
Rh  0.596  0.812  0.429
Rh  0.812  0.429  0.596
S  0.142  0.378  0.738
S  0.254  0.254  0.254
S  0.262  0.858  0.622
S  0.378  0.738  0.142
S  0.622  0.262  0.858
S  0.738  0.142  0.378
S  0.746  0.746  0.746
S  0.858  0.622  0.262

***

# 8
DFT (PBE-GGA) results for a relaxed structure of Ac12Ir3Rh5.

Final energy ... -5.980 eV per atom
Formation energy ... -0.348 eV per atom

Cell: 15.235 15.235 15.235 Å, 109.47 109.47 109.47°
Element x y z (fractional)
Ac  0.043  0.219  0.130
Ac  0.043  0.324  0.914
Ac  0.086  0.630  0.411
Ac  0.086  0.957  0.676
Ac  0.089  0.719  0.676
Ac  0.089  0.870  0.414
Ac  0.130  0.043  0.219
Ac  0.130  0.586  0.911
Ac  0.176  0.219  0.589
Ac  0.176  0.457  0.586
Ac  0.219  0.130  0.043
Ac  0.219  0.589  0.176
Ac  0.281  0.324  0.911
Ac  0.281  0.457  0.370
Ac  0.324  0.911  0.281
Ac  0.324  0.914  0.043
Ac  0.370  0.281  0.457
Ac  0.370  0.589  0.914
Ac  0.411  0.086  0.630
Ac  0.411  0.824  0.781
Ac  0.414  0.089  0.870
Ac  0.414  0.824  0.543
Ac  0.457  0.370  0.281
Ac  0.457  0.586  0.176
Ac  0.543  0.414  0.824
Ac  0.543  0.630  0.719
Ac  0.586  0.176  0.457
Ac  0.586  0.911  0.130
Ac  0.589  0.176  0.219
Ac  0.589  0.914  0.370
Ac  0.630  0.411  0.086
Ac  0.630  0.719  0.543
Ac  0.676  0.086  0.957
Ac  0.676  0.089  0.719
Ac  0.719  0.543  0.630
Ac  0.719  0.676  0.089
Ac  0.781  0.411  0.824
Ac  0.781  0.870  0.957
Ac  0.824  0.543  0.414
Ac  0.824  0.781  0.411
Ac  0.870  0.414  0.089
Ac  0.870  0.957  0.781
Ac  0.911  0.130  0.586
Ac  0.911  0.281  0.324
Ac  0.914  0.043  0.324
Ac  0.914  0.370  0.589
Ac  0.957  0.676  0.086
Ac  0.957  0.781  0.870
Ir  0.125  0.250  0.375
Ir  0.125  0.375  0.750
Ir  0.250  0.375  0.125
Ir  0.250  0.875  0.625
Ir  0.375  0.125  0.250
Ir  0.375  0.750  0.125
Ir  0.625  0.250  0.875
Ir  0.625  0.875  0.750
Ir  0.750  0.125  0.375
Ir  0.750  0.625  0.875
Ir  0.875  0.625  0.250
Ir  0.875  0.750  0.625
Rh  0.000  0.000  0.000
Rh  0.000  0.000  0.500
Rh  0.000  0.500  0.000
Rh  0.000  0.500  0.500
Rh  0.125  0.750  0.875
Rh  0.125  0.875  0.250
Rh  0.250  0.125  0.875
Rh  0.250  0.625  0.375
Rh  0.375  0.250  0.625
Rh  0.375  0.625  0.750
Rh  0.500  0.000  0.000
Rh  0.500  0.000  0.500
Rh  0.500  0.500  0.000
Rh  0.500  0.500  0.500
Rh  0.625  0.375  0.250
Rh  0.625  0.750  0.375
Rh  0.750  0.375  0.625
Rh  0.750  0.875  0.125
Rh  0.875  0.125  0.750
Rh  0.875  0.250  0.125

***

# 9
DFT (PBE-GGA) results for a relaxed structure of PaCu6O12.

Formation energy (no corrections) ... -392 meV per atom
Final energy ... -5.317 eV per atom

Cell: 6.351 6.351 6.351 Å, 109.47 109.47 109.47°
Element x y z (fractional)
Pa  0.000  0.000  0.000
Cu  0.164  0.664  0.500
Cu  0.336  0.500  0.836
Cu  0.500  0.164  0.664
Cu  0.500  0.836  0.336
Cu  0.664  0.500  0.164
Cu  0.836  0.336  0.500
O  0.152  0.309  0.460
O  0.152  0.691  0.843
O  0.157  0.848  0.309
O  0.309  0.157  0.848
O  0.309  0.460  0.152
O  0.460  0.152  0.309
O  0.540  0.848  0.691
O  0.691  0.540  0.848
O  0.691  0.843  0.152
O  0.843  0.152  0.691
O  0.848  0.309  0.157
O  0.848  0.691  0.540

***

# 10
DFT (PBE-GGA) results for a relaxed structure of CePr12Er7.

Final energy ... -4.612 eV per atom
Energy above the most stable polymorph in this dataset ... 0 meV per atom
Formation energy ... 0.149 eV per atom

Cell: 9.533 9.533 9.533 Å, 108.40 108.40 108.40°
Element x y z (fractional)
Ce  0.000  0.000  0.000
Pr  0.032  0.697  0.134
Pr  0.134  0.032  0.697
Pr  0.160  0.424  0.642
Pr  0.303  0.866  0.968
Pr  0.358  0.840  0.576
Pr  0.424  0.642  0.160
Pr  0.576  0.358  0.840
Pr  0.642  0.160  0.424
Pr  0.697  0.134  0.032
Pr  0.840  0.576  0.358
Pr  0.866  0.968  0.303
Pr  0.968  0.303  0.866
Er  0.123  0.405  0.270
Er  0.270  0.123  0.405
Er  0.405  0.270  0.123
Er  0.500  0.500  0.500
Er  0.595  0.730  0.877
Er  0.730  0.877  0.595
Er  0.877  0.595  0.730

***

# 11
DFT (PBE-GGA) results for a relaxed structure of KBaIr.

Final energy ... -3.551 eV per atom
Energy above the most stable polymorph in this dataset ... 554 meV per atom
Formation energy ... 0.410 eV per atom

Cell: 8.566 8.566 8.566 Å, 154.00 154.00 37.10°
Element x y z (fractional)
K  0.000  0.000  0.000
Ba  0.221  0.221  0.000
Ir  0.627  0.627  0.000

***

# 12
DFT (PBE-GGA) results for a relaxed structure of RhC2.

Final energy ... -8.097 eV per atom
Energy above the most stable polymorph in this dataset ... 41 meV per atom
Formation energy ... 0.503 eV per atom

Cell: 2.574 2.574 9.552 Å, 90.00 90.00 120.00°
Element x y z (fractional)
Rh  0.333  0.667  0.250
Rh  0.667  0.333  0.750
C  0.333  0.667  0.011
C  0.333  0.667  0.489
C  0.667  0.333  0.511
C  0.667  0.333  0.989

***

# 13
DFT (PBE-GGA) results for a relaxed structure of La4Sb2PbSe.

Formation energy (no corrections) ... -1275 meV per atom
Final energy ... -5.669 eV per atom

Cell: 7.922 4.563 7.934 Å, 90.00 109.36 90.00°
Element x y z (fractional)
La  0.245  0.000  0.251
La  0.246  0.500  0.747
La  0.754  0.500  0.253
La  0.755  0.000  0.749
Sb  0.000  0.500  0.000
Sb  0.500  0.000  0.000
Pb  0.500  0.500  0.500
Se  0.000  0.000  0.500

***

# 14
DFT (PBE-GGA) results for a relaxed structure of ErZr2Pd8.

Final energy ... -6.473 eV per atom
Formation energy ... -0.727 eV per atom

Cell: 7.565 7.565 6.687 Å, 107.28 107.28 31.54°
Element x y z (fractional)
Er  0.000  0.000  0.000
Zr  0.279  0.279  0.334
Zr  0.721  0.721  0.666
Pd  0.099  0.099  0.456
Pd  0.181  0.181  0.909
Pd  0.356  0.356  0.805
Pd  0.459  0.459  0.281
Pd  0.541  0.541  0.719
Pd  0.644  0.644  0.195
Pd  0.819  0.819  0.091
Pd  0.901  0.901  0.544

***

# 15
DFT (PBE-GGA) results for a relaxed structure of K2Bi2Ir.

Final energy ... -3.083 eV per atom
Formation energy ... 0.680 eV per atom

Cell: 10.605 10.605 10.605 Å, 155.91 155.91 34.33°
Element x y z (fractional)
K  0.089  0.089  0.000
K  0.911  0.911  0.000
Bi  0.250  0.750  0.500
Bi  0.750  0.250  0.500
Ir  0.500  0.500  0.000

***

# 16
DFT (PBE-GGA) results for a relaxed structure of Cs4HgAu2.

Final energy ... -1.736 eV per atom
Energy above the most stable polymorph in this dataset ... 0 meV per atom
Formation energy ... -0.269 eV per atom

Cell: 11.498 11.498 11.498 Å, 31.15 31.15 31.15°
Element x y z (fractional)
Cs  0.117  0.117  0.117
Cs  0.294  0.294  0.294
Cs  0.706  0.706  0.706
Cs  0.883  0.883  0.883
Hg  0.500  0.500  0.500
Au  0.409  0.409  0.409
Au  0.591  0.591  0.591

***

# 17
DFT (PBE-GGA) results for a relaxed structure of Ba2Li16La.

Final energy ... -2.027 eV per atom
Formation energy ... 0.047 eV per atom

Cell: 7.966 7.966 7.966 Å, 83.03 83.03 83.03°
Element x y z (fractional)
Ba  0.000  0.000  0.000
Ba  0.304  0.304  0.304
Li  0.164  0.641  0.641
Li  0.308  0.308  0.790
Li  0.308  0.790  0.308
Li  0.350  0.645  0.936
Li  0.350  0.936  0.645
Li  0.489  0.994  0.994
Li  0.546  0.546  0.546
Li  0.641  0.164  0.641
Li  0.641  0.641  0.164
Li  0.645  0.350  0.936
Li  0.645  0.936  0.350
Li  0.790  0.308  0.308
Li  0.936  0.350  0.645
Li  0.936  0.645  0.350
Li  0.994  0.489  0.994
Li  0.994  0.994  0.489
La  0.751  0.751  0.751

***

# 18
DFT (PBE-GGA) results for a relaxed structure of CsHfTi2.

Final energy ... -5.089 eV per atom
Energy above the most stable polymorph in this dataset ... 239 meV per atom
Formation energy ... 1.560 eV per atom

Cell: 10.528 10.528 10.528 Å, 156.03 156.03 34.15°
Element x y z (fractional)
Cs  0.000  0.000  0.000
Cs  0.750  0.250  0.500
Hf  0.250  0.750  0.500
Hf  0.500  0.500  0.000
Ti  0.145  0.125  0.520
Ti  0.375  0.855  0.980
Ti  0.605  0.625  0.480
Ti  0.875  0.395  0.020

***

# 19
DFT (PBE-GGA) results for a relaxed structure of CdGeMo2.

Final energy ... -6.159 eV per atom
Energy above the most stable polymorph in this dataset ... 127 meV per atom
Formation energy ... 0.639 eV per atom

Cell: 10.237 10.237 10.237 Å, 158.15 158.15 31.09°
Element x y z (fractional)
Cd  0.000  0.000  0.000
Cd  0.750  0.250  0.500
Ge  0.250  0.750  0.500
Ge  0.500  0.500  0.000
Mo  0.174  0.625  0.049
Mo  0.375  0.424  0.549
Mo  0.576  0.125  0.951
Mo  0.875  0.826  0.451